1.
The following is a PBE calculation of CaPm6Sm3Dy2 after structural relaxation, from the Alexandria database.

abc: 6.3227 10.9558 11.9974
angles: 90.00 100.07 90.00
Closest atoms and distances in Å follow each position.
Space group C2/m (No. 12)
Symmetry-distinct sites (fractional):
Ca1 0.0000 0.0000 0.0000  6 Dy 3.65, 6 Pm 3.66
Pm1 0.2439 0.5000 0.2510  3 Sm 3.59-3.63, 6 Pm 3.61-3.73, 2 Dy 3.63, 1 Ca 3.66
Pm2 0.2455 0.3297 0.7495  3 Sm 3.60-3.64, 6 Pm 3.61-3.73, 2 Dy 3.62, 1 Ca 3.66
Sm1 0.0000 0.1662 0.5000  6 Pm 3.60-3.64, 6 Sm 3.64-3.66
Sm2 0.0000 0.5000 0.5000  6 Pm 3.59-3.64, 6 Sm 3.65-3.66
Dy1 0.0000 0.3332 0.0000  6 Pm 3.62-3.63, 3 Dy 3.65, 3 Ca 3.65


2.
The following is a PBE calculation of CaPmDySn after structural relaxation, from the Alexandria database.

abc: 7.7671 7.7671 7.7671
angles: 90.00 90.00 90.00
Closest atoms and distances in Å follow each position.
Space group F-43m (No. 216)
Symmetry-distinct sites (fractional):
Ca1 0.0000 0.0000 0.0000  4 Pm 3.36, 4 Dy 3.36
Pm1 0.2500 0.2500 0.7500  4 Sn 3.36, 4 Ca 3.36
Dy1 0.2500 0.2500 0.2500  4 Sn 3.36, 4 Ca 3.36
Sn1 0.0000 0.0000 0.5000  4 Dy 3.36, 4 Pm 3.36


| no. | energy of formation (eV/atom) |
| --- | --- |
| 1 | 0.037 |
| 2 | -0.250 |